Computed, not measured: crystalline NaSrPt at its relaxed geometry at the PBE-GGA level of DFT.

a b c (Å): 7.126 7.126 7.126
angles (deg): 90.00 90.00 90.00
Space group F-43m (No. 216)
Asymmetric unit:
Na 0.000 0.000 0.000 [4 per cell]
Sr 0.000 0.000 0.500 [4 per cell]
Pt 0.250 0.250 0.750 [4 per cell]

## Properties
crystal system	cubic
size of the total moment	0.00	μB per cell
raw total energy	-3.395	eV/atom
calculated formation energy	-1.14	eV/f.u.
calculated density	5.610	g cm⁻³